VASP calculation (GGA+U) on crystalline TiCr2Ni3P6O24 at its relaxed geometry.

abc: 8.404 8.404 8.404
angles: 61.70 61.70 61.70
Fractional coordinates of all 36 atoms:
Ti (0.000, 0.000, 0.000)
Cr (0.351, 0.351, 0.351)
Cr (0.853, 0.853, 0.853)
Ni (0.210, 0.210, 0.210)
Ni (0.495, 0.495, 0.495)
Ni (0.711, 0.711, 0.711)
P (0.108, 0.403, 0.803)
P (0.306, 0.905, 0.603)
P (0.403, 0.803, 0.108)
P (0.603, 0.306, 0.905)
P (0.803, 0.108, 0.403)
P (0.905, 0.603, 0.306)
O (0.030, 0.240, 0.862)
O (0.102, 0.910, 0.766)
O (0.113, 0.459, 0.276)
O (0.204, 0.346, 0.944)
O (0.240, 0.862, 0.030)
O (0.246, 0.422, 0.595)
O (0.276, 0.113, 0.459)
O (0.346, 0.944, 0.204)
O (0.348, 0.755, 0.522)
O (0.422, 0.595, 0.246)
O (0.456, 0.859, 0.681)
O (0.459, 0.276, 0.113)
O (0.522, 0.348, 0.755)
O (0.595, 0.246, 0.422)
O (0.598, 0.808, 0.947)
O (0.681, 0.456, 0.859)
O (0.755, 0.522, 0.348)
O (0.766, 0.102, 0.910)
O (0.808, 0.947, 0.598)
O (0.859, 0.681, 0.456)
O (0.862, 0.030, 0.240)
O (0.910, 0.766, 0.102)
O (0.944, 0.204, 0.346)
O (0.947, 0.598, 0.808)

Calculated values
Symmetry ... R3
DFT total energy ... -6.997 eV per atom